(1)
{
  "formula": "PPd3",
  "functional": "PBE-GGA",
  "state": "optimized geometry",
  "lattice_angstrom": [[5.554, 0.000, 0.000], [-2.777, 4.810, 0.000], [0.000, 0.000, 4.742]],
  "species": ["P", "P", "Pd", "Pd", "Pd", "Pd", "Pd", "Pd"],
  "frac_coords": [[0.333, 0.667, 0.000], [0.667, 0.333, 0.500], [0.042, 0.719, 0.319], [0.281, 0.323, 0.319], [0.323, 0.042, 0.819], [0.677, 0.958, 0.319], [0.719, 0.677, 0.819], [0.958, 0.281, 0.819]],
  "magmom_total_mub_per_fu": 0.000,
  "relative_energy_ev_per_atom": 0.095,
  "ef_mev_per_atom": -375
}

(2)
{
  "formula": "PPd",
  "functional": "PBE-GGA",
  "state": "optimized geometry",
  "lattice_angstrom": [[3.882, 0.000, 0.000], [-1.941, 3.362, 0.000], [0.000, 0.000, 5.966]],
  "species": ["P", "P", "Pd", "Pd"],
  "frac_coords": [[0.333, 0.667, 0.000], [0.667, 0.333, 0.500], [0.333, 0.667, 0.389], [0.667, 0.333, 0.889]],
  "magmom_total_mub_per_fu": 0.000,
  "ef_mev_per_atom": -95
}